P.
Below is crystalline Dy2ErMg at its relaxed geometry, with properties calculated at the PBE level.

Unit cell a=3.4269 b=3.4269 c=36.5356 alpha=90.00 beta=90.00 gamma=120.00
Space group R-3m (No. 166, hexagonal axes)
Asymmetric unit:
Dy 0.0000 0.0000 0.0895 [6 per cell]
Er 0.0000 0.0000 0.5000 [3 per cell]
Mg 0.0000 0.0000 0.0000 [3 per cell]

## Properties
The spin magnetization is 0.000 μB per formula unit.


Q.
Below is crystalline Dy2ErMg at its relaxed geometry, with properties calculated at the PBE level.

Unit cell a=3.562 b=3.562 c=9.241 alpha=90.00 beta=90.00 gamma=90.00
Space group P4/mmm (No. 123)
Asymmetric unit:
Dy 0.000 0.000 0.238 [2 per cell]
Er 0.500 0.500 0.500 [1 per cell]
Mg 0.500 0.500 0.000 [1 per cell]

## Properties
The spin magnetization is 0.000 μB per formula unit.


R.
Below is crystalline Dy2ErMg at its relaxed geometry, with properties calculated at the PBE level.

Unit cell a=7.744 b=7.744 c=7.744 alpha=90.00 beta=90.00 gamma=90.00
Space group Fm-3m (No. 225)
Asymmetric unit:
Dy 0.250 0.250 0.250 [8 per cell]
Er 0.000 0.000 0.000 [4 per cell]
Mg 0.000 0.000 0.500 [4 per cell]

## Properties
The spin magnetization is 0.000 μB per formula unit.


Stability order, top to bottom: Q, R, P


P.
Below is crystalline DyEr2Mg at its relaxed geometry, with properties calculated at the PBE level.

Unit cell a=7.083 b=7.093 c=9.913 alpha=90.00 beta=110.85 gamma=90.00
Space group C2/m (No. 12)
Asymmetric unit:
Dy 0.130 0.000 0.260 [4 per cell]
Er 0.131 0.500 0.262 [4 per cell]
Er 0.250 0.250 0.000 [4 per cell]
Mg 0.000 0.250 0.500 [4 per cell]

## Properties
The spin magnetization is 0.000 μB per formula unit.


Q.
Below is crystalline DyEr2Mg at its relaxed geometry, with properties calculated at the PBE level.

Unit cell a=4.867 b=4.867 c=4.891 alpha=90.00 beta=90.00 gamma=90.00
Space group P4/mmm (No. 123)
Asymmetric unit:
Dy 0.000 0.000 0.000 [1 per cell]
Er 0.000 0.500 0.500 [2 per cell]
Mg 0.500 0.500 0.000 [1 per cell]

## Properties
The spin magnetization is 0.001 μB per formula unit.


R.
Below is crystalline DyEr2Mg at its relaxed geometry, with properties calculated at the PBE level.

Unit cell a=3.4959 b=3.4959 c=33.2759 alpha=90.00 beta=90.00 gamma=120.00
Space group R-3m (No. 166, hexagonal axes)
Asymmetric unit:
Dy 0.0000 0.0000 0.0000 [3 per cell]
Er 0.0000 0.0000 0.2473 [6 per cell]
Mg 0.0000 0.0000 0.5000 [3 per cell]

## Properties
The spin magnetization is 0.000 μB per formula unit.


Stability order, top to bottom: P, R, Q


P.
Below is crystalline DyEr2Mg at its relaxed geometry, with properties calculated at the PBE level.

Unit cell a=3.544 b=3.544 c=9.252 alpha=90.00 beta=90.00 gamma=90.00
Space group P4/mmm (No. 123)
Asymmetric unit:
Dy 0.000 0.000 0.000 [1 per cell]
Er 0.500 0.500 0.263 [2 per cell]
Mg 0.000 0.000 0.500 [1 per cell]

## Properties
The spin magnetization is 0.000 μB per formula unit.


Q.
Below is crystalline DyEr2Mg at its relaxed geometry, with properties calculated at the PBE level.

Unit cell a=7.728 b=7.728 c=7.728 alpha=90.00 beta=90.00 gamma=90.00
Space group Fm-3m (No. 225)
Asymmetric unit:
Dy 0.000 0.000 0.000 [4 per cell]
Er 0.250 0.250 0.250 [8 per cell]
Mg 0.000 0.000 0.500 [4 per cell]

## Properties
The spin magnetization is 0.000 μB per formula unit.


Stability order, top to bottom: P, Q


P.
Below is crystalline Dy4Er7Mg at its relaxed geometry, with properties calculated at the PBE level.

Unit cell a=11.993 b=5.728 c=12.428 alpha=90.00 beta=116.67 gamma=90.00
Space group C2/m (No. 12)
Asymmetric unit:
Dy 0.128 0.000 0.269 [4 per cell]
Dy 0.186 0.500 0.149 [4 per cell]
Er 0.000 0.000 0.500 [2 per cell]
Er 0.088 0.500 0.783 [4 per cell]
Er 0.133 0.000 0.985 [4 per cell]
Er 0.203 0.500 0.428 [4 per cell]
Mg 0.000 0.500 0.500 [2 per cell]

## Properties
The spin magnetization is 0.002 μB per formula unit.


Q.
Below is crystalline Dy4Er7Mg at its relaxed geometry, with properties calculated at the PBE level.

Unit cell a=3.5146 b=3.5146 c=34.0280 alpha=90.00 beta=90.00 gamma=120.00
Space group P-3m1 (No. 164)
Asymmetric unit:
Dy 0.3333 0.6667 0.1623 [2 per cell]
Dy 0.3333 0.6667 0.4154 [2 per cell]
Er 0.0000 0.0000 0.2469 [2 per cell]
Er 0.0000 0.0000 0.5000 [1 per cell]
Er 0.3333 0.6667 0.6691 [2 per cell]
Er 0.3333 0.6667 0.9216 [2 per cell]
Mg 0.0000 0.0000 0.0000 [1 per cell]

## Properties
The spin magnetization is 0.000 μB per formula unit.


Stability order, top to bottom: Q, P


P.
Below is crystalline Dy2ErMg2 at its relaxed geometry, with properties calculated at the PBE level.

Unit cell a=3.715 b=27.791 c=5.407 alpha=90.00 beta=90.00 gamma=90.00
Space group Cmcm (No. 63)
Asymmetric unit:
Dy 0.000 0.044 0.250 [4 per cell]
Dy 0.000 0.237 0.250 [4 per cell]
Er 0.000 0.152 0.750 [4 per cell]
Mg 0.000 0.360 0.750 [4 per cell]
Mg 0.000 0.445 0.250 [4 per cell]

## Properties
The spin magnetization is 0.000 μB per formula unit.


Q.
Below is crystalline Dy2ErMg2 at its relaxed geometry, with properties calculated at the PBE level.

Unit cell a=5.3800 b=5.3800 c=16.7338 alpha=90.00 beta=90.00 gamma=120.00
Space group R-3m (No. 166, hexagonal axes)
Asymmetric unit:
Dy 0.0000 0.0000 0.2141 [6 per cell]
Er 0.0000 0.0000 0.0000 [3 per cell]
Mg 0.0000 0.0000 0.4100 [6 per cell]

## Properties
The spin magnetization is 0.000 μB per formula unit.


Stability order, top to bottom: P, Q


P.
Below is crystalline Dy4ErMg7 at its relaxed geometry, with properties calculated at the PBE level.

Unit cell a=11.448 b=5.636 c=11.534 alpha=90.00 beta=115.45 gamma=90.00
Space group C2/m (No. 12)
Asymmetric unit:
Dy 0.068 0.000 0.326 [4 per cell]
Dy 0.163 0.500 0.779 [4 per cell]
Er 0.000 0.500 0.000 [2 per cell]
Mg 0.000 0.000 0.000 [2 per cell]
Mg 0.126 0.500 0.495 [4 per cell]
Mg 0.202 0.000 0.923 [4 per cell]
Mg 0.249 0.500 0.318 [4 per cell]

## Properties
The spin magnetization is 0.000 μB per formula unit.


Q.
Below is crystalline Dy4ErMg7 at its relaxed geometry, with properties calculated at the PBE level.

Unit cell a=5.2888 b=5.2888 c=13.1934 alpha=90.00 beta=90.00 gamma=120.00
Space group P-3m1 (No. 164)
Asymmetric unit:
Dy 0.3333 0.6667 0.1604 [2 per cell]
Dy 0.3333 0.6667 0.4208 [2 per cell]
Er 0.0000 0.0000 0.0000 [1 per cell]
Mg 0.0000 0.0000 0.2613 [2 per cell]
Mg 0.0000 0.0000 0.5000 [1 per cell]
Mg 0.3333 0.6667 0.6822 [2 per cell]
Mg 0.3333 0.6667 0.9174 [2 per cell]

## Properties
The spin magnetization is 0.005 μB per formula unit.


Stability order, top to bottom: Q, P